# 1
VASP calculation (PBE) on a geometry-optimized ZnRe2Ag structure.

Lattice parameters (Å, degrees): 2.9703 2.9703 7.2076 90.00 90.00 90.00
Closest atoms and distances in Å follow each position.
Space group P4mm (No. 99)
Inequivalent atoms, fractional coordinates:
1 Zn 0.0000 0.0000 0.0000  4 Ag 2.75, 4 Re 2.78, 4 Zn 2.97
2 Re 0.0000 0.0000 0.5451  4 Re 2.56
3 Re 0.5000 0.5000 0.7484  4 Re 2.56, 4 Zn 2.78
4 Ag 0.5000 0.5000 0.2474  4 Zn 2.75, 4 Ag 2.97, 4 Re 3.00

VASP energy, eV/atom: -7.013


# 2
VASP calculation (PBE) on a geometry-optimized Ge3IF structure.

Lattice parameters (Å, degrees): 5.5533 5.5533 5.5533 90.00 90.00 90.00
Closest atoms and distances in Å follow each position.
Space group Pm-3m (No. 221)
Inequivalent atoms, fractional coordinates:
1 Ge 0.0000 0.0000 0.5000  2 I 2.78
2 I 0.0000 0.0000 0.0000  6 Ge 2.78
3 F 0.5000 0.5000 0.5000  12 Ge 3.93

Energy relative to the lowest polymorph listed for this composition, meV/atom: 689


# 3
VASP calculation (PBE) on a geometry-optimized CaMg2Cl structure.

Lattice parameters (Å, degrees): 3.5589 3.5589 9.4159 90.00 90.00 90.00
Closest atoms and distances in Å follow each position.
Space group P4mm (No. 99)
Inequivalent atoms, fractional coordinates:
1 Ca 0.0000 0.0000 0.0000  4 Cl 2.87
2 Mg 0.0000 0.0000 0.5593  4 Mg 3.04
3 Mg 0.5000 0.5000 0.7413  4 Mg 3.04
4 Cl 0.5000 0.5000 0.1468  4 Ca 2.87

Energy relative to the lowest polymorph listed for this composition, meV/atom: 0


# 4
VASP calculation (PBE) on a geometry-optimized TmTl3 structure.

Lattice parameters (Å, degrees): 3.6784 11.0478 5.4919 90.00 90.00 90.00
Closest atoms and distances in Å follow each position.
Space group Imm2 (No. 44)
Inequivalent atoms, fractional coordinates:
1 Tm 0.0000 0.0000 0.0000  10 Tl 3.25-3.47
2 Tl 0.0000 0.2557 0.3660  9 Tl 3.31-3.68, 3 Tm 3.35-3.47
3 Tl 0.0000 0.5000 0.9870  4 Tm 3.25-3.36, 6 Tl 3.41-3.44

VASP energy, eV/atom: -3.009


# 5
VASP calculation (PBE) on a geometry-optimized MgTiTe2 structure.

Lattice parameters (Å, degrees): 3.7366 3.7366 28.2266 90.00 90.00 120.00
Closest atoms and distances in Å follow each position.
Space group R-3m (No. 166, hexagonal axes)
Inequivalent atoms, fractional coordinates:
1 Mg 0.0000 0.0000 0.0000  2 Te 2.97
2 Ti 0.0000 0.0000 0.5000  6 Te 2.77
3 Te 0.0000 0.0000 0.1053  3 Ti 2.77, 1 Mg 2.97

VASP energy, eV/atom: -4.378


# 6
VASP calculation (PBE) on a geometry-optimized Dy8Pd3Pt2 structure.

Lattice parameters (Å, degrees): 14.8967 7.3045 6.4576 90.00 102.34 90.00
Closest atoms and distances in Å follow each position.
Space group C2/m (No. 12)
Inequivalent atoms, fractional coordinates:
1 Dy 0.0769 0.0000 0.3387  1 Pt 2.72, 2 Pd 2.86
2 Dy 0.1310 0.2517 0.8777  2 Pt 2.81-2.89, 2 Pd 2.82-2.89
3 Dy 0.1701 0.5000 0.3848  1 Pt 2.84, 3 Pd 3.10-3.15
4 Pd 0.0000 0.3144 0.5000  1 Pd 2.71, 4 Dy 2.82-2.86
5 Pd 0.0000 0.5000 0.0000  6 Dy 2.89-3.15
6 Pt 0.2332 0.0000 0.1855  6 Dy 2.72-2.89

VASP energy, eV/atom: -5.675


# 7
VASP calculation (PBE) on a geometry-optimized PrBi12Ir4 structure.

Lattice parameters (Å, degrees): 9.8906 9.8906 9.8906 90.00 90.00 90.00
Closest atoms and distances in Å follow each position.
Space group Im-3 (No. 204)
Inequivalent atoms, fractional coordinates:
1 Pr 0.0000 0.0000 0.0000  12 Bi 3.65
2 Bi 0.0000 0.3331 0.1579  2 Ir 2.76
3 Ir 0.2500 0.2500 0.2500  6 Bi 2.76

VASP energy, eV/atom: -5.205


# 8
VASP calculation (PBE) on a geometry-optimized NbZnCl2 structure.

Lattice parameters (Å, degrees): 8.5604 8.5604 5.5323 90.00 90.00 90.00
Closest atoms and distances in Å follow each position.
Space group I-42d (No. 122)
Inequivalent atoms, fractional coordinates:
1 Nb 0.0000 0.0000 0.0000  4 Cl 2.49, 2 Zn 2.77
2 Zn 0.0000 0.0000 0.5000  2 Nb 2.77
3 Cl 0.1236 0.7500 0.1250  2 Nb 2.49

Energy relative to the lowest polymorph listed for this composition, meV/atom: 329